BeTcPd2Pb at its PBEsol-relaxed geometry. Source: Alexandria, functional SCAN.

a b c (Å): 4.2015 4.2015 4.3229
angles (deg): 90.00 90.00 90.00
With the nearest neighbours (Å) after each atom.
Positions (direct):
1 Be 0.0000 0.0000 0.0000  4 Pd 2.10, 2 Tc 2.16
2 Tc 0.0000 0.0000 0.5000  2 Be 2.16
3 Pd 0.0000 0.5000 0.0000  2 Be 2.10
4 Pd 0.5000 0.0000 0.0000  2 Be 2.10
5 Pb 0.5000 0.5000 0.5000  4 Tc 2.97, 8 Pd 3.01

Properties
The space group is No. 123. The magnetic moment is 0.12 μB per atom. The crystal system is tetragonal. For the formation enthalpy at 0 K, the calculation gives 146 meV per atom.

***

LaMg11Al at its PBEsol-relaxed geometry. Source: Alexandria, functional SCAN.

a b c (Å): 7.7834 7.7834 7.7236
angles (deg): 98.01 98.01 136.18
With the nearest neighbours (Å) after each atom.
Positions (direct):
1 La 0.0000 0.0000 0.0000  18 Mg 3.58-3.89, 2 Al 3.87
2 Mg 0.0000 0.0000 0.5000  2 Al 2.90, 8 Mg 2.94-3.09
3 Mg 0.0000 0.5000 0.0000  10 Mg 2.90-3.14
4 Mg 0.0065 0.3545 0.3557  8 Mg 3.02-3.34, 1 Al 3.08
5 Mg 0.2898 0.5003 0.7839  1 Al 2.91, 8 Mg 2.94-3.26
6 Mg 0.3545 0.0065 0.3557  8 Mg 3.02-3.34, 1 Al 3.08
7 Mg 0.5000 0.0000 0.0000  10 Mg 2.90-3.14
8 Mg 0.5003 0.2898 0.7839  1 Al 2.91, 8 Mg 2.94-3.26
9 Mg 0.4997 0.7102 0.2161  1 Al 2.91, 8 Mg 2.94-3.26
10 Mg 0.6455 0.9935 0.6443  8 Mg 3.02-3.34, 1 Al 3.08
11 Mg 0.7102 0.4997 0.2161  1 Al 2.91, 8 Mg 2.94-3.26
12 Mg 0.9935 0.6455 0.6443  8 Mg 3.02-3.34, 1 Al 3.08
13 Al 0.5000 0.5000 0.5000  10 Mg 2.90-3.08

Properties
The space group is No. 12. The magnetic moment is 0.01 μB per atom. The crystal system is monoclinic. For the formation enthalpy at 0 K, the calculation gives -83 meV per atom.

***

NaZn2Ge2 at its PBEsol-relaxed geometry. Source: Alexandria, functional SCAN.

a b c (Å): 4.1787 4.1787 10.7136
angles (deg): 90.00 90.00 90.00
With the nearest neighbours (Å) after each atom.
Positions (direct):
1 Na 0.0000 0.0000 0.0000  8 Ge 3.20, 8 Zn 3.40
2 Na 0.5000 0.5000 0.5000  8 Ge 3.20, 8 Zn 3.40
3 Zn 0.0000 0.5000 0.2500  4 Ge 2.55
4 Zn 0.0000 0.5000 0.7500  4 Ge 2.55
5 Zn 0.5000 0.0000 0.2500  4 Ge 2.55
6 Zn 0.5000 0.0000 0.7500  4 Ge 2.55
7 Ge 0.0000 0.0000 0.3856  1 Ge 2.45, 4 Zn 2.55
8 Ge 0.0000 0.0000 0.6143  1 Ge 2.45, 4 Zn 2.55
9 Ge 0.5000 0.5000 0.1144  1 Ge 2.45, 4 Zn 2.55
10 Ge 0.5000 0.5000 0.8856  1 Ge 2.45, 4 Zn 2.55

Properties
The space group is No. 139. The magnetic moment is 0.00 μB per atom. The crystal system is tetragonal. For the formation enthalpy at 0 K, the calculation gives -128 meV per atom.

***

LiTaBe at its PBEsol-relaxed geometry. Source: Alexandria, functional SCAN.

a b c (Å): 4.1075 4.1075 2.6326
angles (deg): 90.00 90.00 120.00
With the nearest neighbours (Å) after each atom.
Positions (direct):
1 Li 0.0000 0.0000 0.0000  3 Be 2.39, 2 Li 2.63, 3 Ta 2.65
2 Ta 0.3333 0.6667 0.5475  2 Ta 2.63, 6 Be 2.65-2.78, 6 Li 2.65-2.78
3 Be 0.6667 0.3333 0.0985  3 Li 2.39, 2 Be 2.63, 3 Ta 2.65

Properties
The space group is No. 156. The magnetic moment is 0.00 μB per atom. The crystal system is trigonal. For the formation enthalpy at 0 K, the calculation gives 441 meV per atom.

***

CrIr2Br at its PBEsol-relaxed geometry. Source: Alexandria, functional SCAN.

a b c (Å): 2.7625 4.4741 10.0036
angles (deg): 90.00 90.00 90.00
With the nearest neighbours (Å) after each atom.
Positions (direct):
1 Cr 0.0000 0.0000 0.0000  4 Ir 2.61, 4 Br 2.63, 2 Cr 2.76
2 Cr 0.5000 0.5000 0.5000  4 Ir 2.61, 4 Br 2.63, 2 Cr 2.76
3 Ir 0.0000 0.5000 0.2782  2 Cr 2.61, 6 Ir 2.69-2.76
4 Ir 0.0000 0.5000 0.7218  2 Cr 2.61, 6 Ir 2.69-2.76
5 Ir 0.5000 0.0000 0.2218  2 Cr 2.61, 6 Ir 2.69-2.76
6 Ir 0.5000 0.0000 0.7782  2 Cr 2.61, 6 Ir 2.69-2.76
7 Br 0.0000 0.0000 0.5000  4 Cr 2.63, 2 Br 2.76
8 Br 0.5000 0.5000 0.0000  4 Cr 2.63, 2 Br 2.76

Properties
The space group is No. 71. As for the formation energy without anion corrections: 0.5352 eV per atom. The magnetic moment is 0.65 μB per atom. The crystal system is orthorhombic.

***

La2ScTl2 at its PBEsol-relaxed geometry. Source: Alexandria, functional SCAN.

a b c (Å): 7.9106 7.9106 4.7266
angles (deg): 90.00 90.00 90.00
With the nearest neighbours (Å) after each atom.
Positions (direct):
1 La 0.1678 0.3322 0.0000  6 Tl 3.23-3.38
2 La 0.3322 0.8322 0.0000  6 Tl 3.23-3.38
3 La 0.6678 0.1678 0.0000  6 Tl 3.23-3.38
4 La 0.8322 0.6678 0.0000  6 Tl 3.23-3.38
5 Sc 0.0000 0.0000 0.5000  4 Tl 3.07
6 Sc 0.5000 0.5000 0.5000  4 Tl 3.07
7 Tl 0.1358 0.6358 0.5000  1 Tl 3.04, 2 Sc 3.07, 6 La 3.23-3.38
8 Tl 0.3642 0.1358 0.5000  1 Tl 3.04, 2 Sc 3.07, 6 La 3.23-3.38
9 Tl 0.6358 0.8642 0.5000  1 Tl 3.04, 2 Sc 3.07, 6 La 3.23-3.38
10 Tl 0.8642 0.3642 0.5000  1 Tl 3.04, 2 Sc 3.07, 6 La 3.23-3.38

Properties
The space group is No. 127. The magnetic moment is 0.00 μB per atom. The crystal system is tetragonal. For the formation enthalpy at 0 K, the calculation gives -551 meV per atom.

***

Tc2SbTeMo at its PBEsol-relaxed geometry. Source: Alexandria, functional SCAN.

a b c (Å): 4.6933 4.6933 5.0615
angles (deg): 90.00 90.00 90.00
With the nearest neighbours (Å) after each atom.
Positions (direct):
1 Tc 0.0000 0.5000 0.0000  2 Mo 2.35
2 Tc 0.5000 0.0000 0.0000  2 Mo 2.35
3 Sb 0.0000 0.0000 0.5000  2 Mo 2.53
4 Te 0.5000 0.5000 0.5000  4 Sb 3.32, 8 Tc 3.45
5 Mo 0.0000 0.0000 0.0000  4 Tc 2.35, 2 Sb 2.53

Properties
The space group is No. 123. As for the formation energy without anion corrections: 1.3954 eV per atom. The magnetic moment is 0.46 μB per atom. The crystal system is tetragonal.

***

LiTlAs2 at its PBEsol-relaxed geometry. Source: Alexandria, functional SCAN.

a b c (Å): 4.0921 4.0921 9.6335
angles (deg): 90.00 90.00 90.00
With the nearest neighbours (Å) after each atom.
Positions (direct):
1 Li 0.0000 0.0000 0.0000  4 Tl 2.89, 8 As 3.16
2 Li 0.5000 0.5000 0.5000  4 Tl 2.89, 8 As 3.16
3 Tl 0.0000 0.0000 0.5000  4 Li 2.89, 8 As 3.16
4 Tl 0.5000 0.5000 0.0000  4 Li 2.89, 8 As 3.16
5 As 0.0000 0.5000 0.2500  4 As 2.89, 4 Tl 3.16, 4 Li 3.16
6 As 0.0000 0.5000 0.7500  4 As 2.89, 4 Tl 3.16, 4 Li 3.16
7 As 0.5000 0.0000 0.2500  4 As 2.89, 4 Tl 3.16, 4 Li 3.16
8 As 0.5000 0.0000 0.7500  4 As 2.89, 4 Tl 3.16, 4 Li 3.16

Properties
The space group is No. 139. The magnetic moment is 0.00 μB per atom. The crystal system is tetragonal. For the formation enthalpy at 0 K, the calculation gives -46 meV per atom.

***

IrRuI2N at its PBEsol-relaxed geometry. Source: Alexandria, functional SCAN.

a b c (Å): 5.4814 5.4814 3.6414
angles (deg): 90.00 90.00 90.00
With the nearest neighbours (Å) after each atom.
Positions (direct):
1 Ir 0.0000 0.0000 0.0000  2 N 1.82
2 Ru 0.5000 0.5000 0.5000  8 I 3.29, 2 Ru 3.64
3 I 0.0000 0.5000 0.0000  2 Ir 2.74
4 I 0.5000 0.0000 0.0000  2 Ir 2.74
5 N 0.0000 0.0000 0.5000  2 Ir 1.82

Properties
The space group is No. 123. As for the formation energy without anion corrections: 0.9410 eV per atom. The magnetic moment is 0.61 μB per atom. The crystal system is tetragonal.

***

TiHgSe2 at its PBEsol-relaxed geometry. Source: Alexandria, functional SCAN.

a b c (Å): 3.4360 3.4360 28.0007
angles (deg): 90.00 90.00 120.00
With the nearest neighbours (Å) after each atom.
Positions (direct):
1 Ti 0.0000 0.0000 0.0000  6 Se 2.52
2 Ti 0.3333 0.6667 0.6667  6 Se 2.52
3 Ti 0.6667 0.3333 0.3333  6 Se 2.52
4 Hg 0.0000 0.0000 0.5000  2 Se 3.11, 6 Hg 3.44
5 Hg 0.3333 0.6667 0.1667  2 Se 3.11, 6 Hg 3.44
6 Hg 0.6667 0.3333 0.8333  2 Se 3.11, 6 Hg 3.44
7 Se 0.0000 0.0000 0.3890  3 Ti 2.52
8 Se 0.0000 0.0000 0.6110  3 Ti 2.52
9 Se 0.3333 0.6667 0.0557  3 Ti 2.52
10 Se 0.3333 0.6667 0.2776  3 Ti 2.52
11 Se 0.6667 0.3333 0.7224  3 Ti 2.52
12 Se 0.6667 0.3333 0.9443  3 Ti 2.52

Properties
The space group is No. 166. As for the formation energy without anion corrections: -0.8910 eV per atom. The magnetic moment is 0.00 μB per atom. The crystal system is trigonal.

***

HgRh at its PBEsol-relaxed geometry. Source: Alexandria, functional SCAN.

a b c (Å): 5.9362 5.9362 5.9362
angles (deg): 90.00 90.00 90.00
With the nearest neighbours (Å) after each atom.
Positions (direct):
1 Hg 0.0000 0.0000 0.0000  4 Rh 2.57
2 Hg 0.0000 0.5000 0.5000  4 Rh 2.57
3 Hg 0.5000 0.0000 0.5000  4 Rh 2.57
4 Hg 0.5000 0.5000 0.0000  4 Rh 2.57
5 Rh 0.2500 0.2500 0.7500  4 Hg 2.57
6 Rh 0.2500 0.7500 0.2500  4 Hg 2.57
7 Rh 0.7500 0.2500 0.2500  4 Hg 2.57
8 Rh 0.7500 0.7500 0.7500  4 Hg 2.57

Properties
The space group is No. 216. The magnetic moment is 0.19 μB per atom. The crystal system is cubic. For the formation enthalpy at 0 K, the calculation gives 1260 meV per atom.

***

BaBr3 at its PBEsol-relaxed geometry. Source: Alexandria, functional SCAN.

a b c (Å): 9.8667 9.8667 4.9128
angles (deg): 90.00 90.00 120.00
With the nearest neighbours (Å) after each atom.
Positions (direct):
1 Ba 0.0000 0.0000 0.0000  6 Br 3.29
2 Ba 0.3333 0.6667 0.6667  6 Br 3.29
3 Ba 0.6667 0.3333 0.3333  6 Br 3.29
4 Br 0.0000 0.5000 0.0000  2 Ba 3.29, 4 Br 3.29
5 Br 0.1667 0.3333 0.3333  4 Br 3.29, 2 Ba 3.29
6 Br 0.1667 0.8333 0.3333  2 Ba 3.29, 4 Br 3.29
7 Br 0.3333 0.1667 0.6667  4 Br 3.29, 2 Ba 3.29
8 Br 0.5000 0.0000 0.0000  4 Br 3.29, 2 Ba 3.29
9 Br 0.5000 0.5000 0.0000  4 Br 3.29, 2 Ba 3.29
10 Br 0.6667 0.8333 0.3333  4 Br 3.29, 2 Ba 3.29
11 Br 0.8333 0.1667 0.6667  2 Ba 3.29, 4 Br 3.29
12 Br 0.8333 0.6667 0.6667  4 Br 3.29, 2 Ba 3.29

Properties
The space group is No. 166. As for the formation energy without anion corrections: -1.4663 eV per atom. The magnetic moment is 0.00 μB per atom. The crystal system is trigonal.

***

> Look up the magnetic moment of the fifth one.

0.65 μB per atom

***

> Among the records above, which one has the highest magnetic moment?

CrIr2Br